A relaxed CaAcZnSi crystal, computed with GGA-PBE.

Output
total moment	0.00	μB/f.u.
density	5.40	g/cm3
energy above the most stable polymorph in this dataset	0.00	kJ per mole of atoms
DOS at the Fermi energy	4.929	states/eV per cell
E	-28.823	eV/cell

Cell and atoms, written as CIF:
```
data_CaAcZnSi
_chemical_formula_sum 'Ca2 Ac2 Zn2 Si2'
_cell_length_a 4.280
_cell_length_b 4.496
_cell_length_c 11.534
_cell_angle_alpha 90.00
_cell_angle_beta 90.00
_cell_angle_gamma 90.00
_space_group_name_H-M_alt 'A m m 2'
_space_group_IT_number 38
loop_
_space_group_symop_operation_xyz
'x,y,z'
'-x,-y,z'
'-x,y,z'
'x,-y,z'
'x,y+1/2,z+1/2'
'-x,-y+1/2,z+1/2'
'-x,y+1/2,z+1/2'
'x,-y+1/2,z+1/2'
loop_
_atom_site_label
_atom_site_type_symbol
_atom_site_fract_x
_atom_site_fract_y
_atom_site_fract_z
Ca1 Ca 0.000 0.000 0.000
Ac1 Ac 0.500 0.000 0.720
Zn1 Zn 0.000 0.000 0.308
Si1 Si 0.500 0.000 0.433
```



A relaxed Ac4CeDy3Se8 crystal, computed with GGA-PBE.

Output
total moment	0.88	μB/f.u.
density	8.08	g/cm3
DOS at the Fermi energy	37.382	states/eV per cell
E	-278.773	eV/cell

Cell and atoms, written as CIF:
```
data_Ac4CeDy3Se8
_chemical_formula_sum 'Ac12 Ce3 Dy9 Se24'
_cell_length_a 8.4352
_cell_length_b 8.4352
_cell_length_c 21.6955
_cell_angle_alpha 90.00
_cell_angle_beta 90.00
_cell_angle_gamma 120.00
_space_group_name_H-M_alt 'R -3 m'
_space_group_IT_number 166
_space_group_name_Hall '-R 3 2"'
loop_
_atom_site_label
_atom_site_type_symbol
_atom_site_fract_x
_atom_site_fract_y
_atom_site_fract_z
Ac1 Ac 0.0000 0.0000 0.0000
Ac2 Ac 0.0000 0.5000 0.0000
Ce1 Ce 0.0000 0.0000 0.5000
Dy1 Dy 0.0000 0.5000 0.5000
Se1 Se 0.0000 0.0000 0.2400
Se2 Se 0.0053 0.5027 0.7589
```



A relaxed V4PN2 crystal, computed with GGA-PBE.

Output
total moment	0.00	μB/f.u.
density	4.61	g/cm3
DOS at the Fermi energy	13.366	states/eV per cell
E	-111.764	eV/cell

Cell and atoms, written as CIF:
```
data_V4PN2
_chemical_formula_sum 'V8 P2 N4'
_cell_length_a 4.248
_cell_length_b 4.248
_cell_length_c 10.480
_cell_angle_alpha 90.00
_cell_angle_beta 90.00
_cell_angle_gamma 90.00
_space_group_name_H-M_alt 'I 4/m m m'
_space_group_IT_number 139
_space_group_name_Hall '-I 4 2'
loop_
_atom_site_label
_atom_site_type_symbol
_atom_site_fract_x
_atom_site_fract_y
_atom_site_fract_z
V1 V 0.000 0.000 0.233
V2 V 0.000 0.500 0.000
P1 P 0.000 0.000 0.000
N1 N 0.000 0.000 0.398
```



A relaxed Mg2CrRe crystal, computed with GGA-PBE.

Output
total moment	0.42	μB/f.u.
density	7.72	g/cm3
energy above the most stable polymorph in this dataset	25.78	kJ per mole of atoms
DFT formation energy	0.42	eV per atom
DOS at the Fermi energy	5.409	states/eV per cell
E	-47.127	eV/cell

Cell and atoms, written as CIF:
```
data_Mg2CrRe
_chemical_formula_sum 'Mg4 Cr2 Re2'
_cell_length_a 5.263
_cell_length_b 9.143
_cell_length_c 2.647
_cell_angle_alpha 90.00
_cell_angle_beta 104.36
_cell_angle_gamma 90.00
_space_group_name_H-M_alt 'C 1 2/m 1'
_space_group_IT_number 12
loop_
_space_group_symop_operation_xyz
'x,y,z'
'-x,-y,-z'
'-x,y,-z'
'x,-y,z'
'x+1/2,y+1/2,z'
'-x+1/2,-y+1/2,-z'
'-x+1/2,y+1/2,-z'
'x+1/2,-y+1/2,z'
loop_
_atom_site_label
_atom_site_type_symbol
_atom_site_fract_x
_atom_site_fract_y
_atom_site_fract_z
Mg1 Mg 0.250 0.250 0.000
Cr1 Cr 0.000 0.000 0.500
Re1 Re 0.000 0.500 0.500
```



Q: Which of these has the highest density?
A: Ac4CeDy3Se8